VASP calculation (PBE) on crystalline ScRe2Br at its relaxed geometry.

Unit cell a=2.8689 b=2.8689 c=8.5437 alpha=90.00 beta=90.00 gamma=90.00
Space group P4/mmm (No. 123)
Asymmetric unit:
1 Sc 0.0000 0.0000 0.0000 (multiplicity 1)
2 Re 0.5000 0.5000 0.2519 (multiplicity 2)
3 Br 0.0000 0.0000 0.5000 (multiplicity 1)

Computed properties:
The value obtained for the energy above the lowest structure with this stoichiometry is 4.00 eV/f.u. For the energy relative to the elements, uncorrected, the calculation gives 0.922 eV per atom. The calculation puts the calculated volume at 70.3 Å³ per cell. For the spin magnetization, the calculation gives 0.0 μB per formula unit. The total energy is -7.303 eV per atom.